An optimized crystal structure of Pr6SnBi2Te3. Source: Alexandria, functional PBE-GGA.

Summary:
DOS(E_F)	0.3838	states/eV per atom
E_form (uncorrected)	-1.200	eV/atom
symmetry	C2/m
DFT total energy	-5.3557	eV/atom

Lattice parameters (Å, degrees): 10.2499 10.2499 9.1578 102.72 102.72 25.88
With the nearest neighbours (Å) after each atom.
Positions (direct):
Pr 0.9997 0.9997 0.2409  2 Sn 3.18, 1 Bi 3.25, 3 Te 3.27-3.30
Pr 0.0003 0.0003 0.7591  2 Sn 3.18, 1 Bi 3.25, 3 Te 3.27-3.30
Pr 0.3333 0.3333 0.4180  3 Bi 3.23-3.24, 3 Te 3.24-3.25
Pr 0.3376 0.3376 0.9184  1 Sn 3.16, 2 Bi 3.24, 3 Te 3.25-3.30
Pr 0.6624 0.6624 0.0816  1 Sn 3.16, 2 Bi 3.24, 3 Te 3.25-3.30
Pr 0.6667 0.6667 0.5820  3 Bi 3.23-3.24, 3 Te 3.24-3.25
Sn 0.5000 0.5000 0.0000  6 Pr 3.16-3.18
Bi 0.1668 0.1668 0.3337  6 Pr 3.23-3.25
Bi 0.8332 0.8332 0.6663  6 Pr 3.23-3.25
Te 0.1682 0.1682 0.8334  6 Pr 3.25-3.30
Te 0.5000 0.5000 0.5000  6 Pr 3.24-3.30
Te 0.8318 0.8318 0.1666  6 Pr 3.25-3.30

---

An optimized crystal structure of SrPrBi. Source: Alexandria, functional PBE-GGA.

Summary:
DOS(E_F)	0.7952	states/eV per atom
DFT formation energy	-0.61	eV/atom
symmetry	Ima2
DFT total energy	-4.0551	eV/atom

Lattice parameters (Å, degrees): 10.1456 10.1456 10.1456 122.01 81.52 128.13
With the nearest neighbours (Å) after each atom.
Positions (direct):
Sr 0.9999 0.2500 0.2499  5 Bi 3.64, 6 Pr 3.90-4.02
Sr 0.0001 0.7500 0.7501  5 Bi 3.64, 6 Pr 3.90-4.02
Sr 0.1802 0.6352 0.0450  5 Bi 3.63-3.64, 6 Pr 3.90-4.02
Sr 0.1806 0.1352 0.5453  5 Bi 3.64, 6 Pr 3.90-4.01
Sr 0.5901 0.1352 0.9550  5 Bi 3.63-3.64, 6 Pr 3.90-4.02
Sr 0.5899 0.6352 0.4547  5 Bi 3.64, 6 Pr 3.90-4.01
Pr 0.3413 0.3413 0.0000  4 Bi 3.31-3.40
Pr 0.3413 0.8413 0.5000  4 Bi 3.31-3.40
Pr 0.5901 0.2152 0.3760  4 Bi 3.31-3.39
Pr 0.5901 0.7142 0.8749  4 Bi 3.31-3.39
Pr 0.8392 0.2142 0.6240  4 Bi 3.31-3.39
Pr 0.8392 0.7152 0.1251  4 Bi 3.31-3.39
Bi 0.2567 0.0902 0.1667  3 Pr 3.39-3.40, 6 Sr 3.64
Bi 0.2567 0.5900 0.6665  3 Pr 3.39-3.40, 6 Sr 3.64
Bi 0.5897 0.8402 0.2496  6 Pr 3.31, 3 Sr 3.63-3.64
Bi 0.5906 0.3402 0.7504  6 Pr 3.31, 3 Sr 3.63-3.64
Bi 0.9235 0.0900 0.8333  3 Pr 3.39-3.40, 6 Sr 3.64
Bi 0.9235 0.5902 0.3335  3 Pr 3.39-3.40, 6 Sr 3.64

---

An optimized crystal structure of Sr2PrBi. Source: Alexandria, functional PBE-GGA.

Summary:
DOS(E_F)	0.8118	states/eV per atom
DFT formation energy	0.06	eV/atom
symmetry	R-3m
DFT total energy	-2.9415	eV/atom

Lattice parameters (Å, degrees): 13.3222 13.3222 13.3222 16.70 16.70 16.70
With the nearest neighbours (Å) after each atom.
Positions (direct):
Sr 0.0850 0.0850 0.0850  1 Bi 3.35
Sr 0.9150 0.9150 0.9150  1 Bi 3.35
Pr 0.5000 0.5000 0.5000  6 Pr 3.87, 6 Sr 3.92
Bi 0.0000 0.0000 0.0000  2 Sr 3.35

---

Please write out number 3 again, unchanged.
An optimized crystal structure of Sr2PrBi. Source: Alexandria, functional PBE-GGA.

Summary:
DOS(E_F)	0.8118	states/eV per atom
DFT formation energy	0.06	eV/atom
symmetry	R-3m
DFT total energy	-2.9415	eV/atom

Lattice parameters (Å, degrees): 13.3222 13.3222 13.3222 16.70 16.70 16.70
With the nearest neighbours (Å) after each atom.
Positions (direct):
Sr 0.0850 0.0850 0.0850  1 Bi 3.35
Sr 0.9150 0.9150 0.9150  1 Bi 3.35
Pr 0.5000 0.5000 0.5000  6 Pr 3.87, 6 Sr 3.92
Bi 0.0000 0.0000 0.0000  2 Sr 3.35

---

Q: Among the records above, which one has the lowest DOS(E_F)?
A: Pr6SnBi2Te3

---

Please write out number 2 again, unchanged.
An optimized crystal structure of SrPrBi. Source: Alexandria, functional PBE-GGA.

Summary:
DOS(E_F)	0.7952	states/eV per atom
DFT formation energy	-0.61	eV/atom
symmetry	Ima2
DFT total energy	-4.0551	eV/atom

Lattice parameters (Å, degrees): 10.1456 10.1456 10.1456 122.01 81.52 128.13
With the nearest neighbours (Å) after each atom.
Positions (direct):
Sr 0.9999 0.2500 0.2499  5 Bi 3.64, 6 Pr 3.90-4.02
Sr 0.0001 0.7500 0.7501  5 Bi 3.64, 6 Pr 3.90-4.02
Sr 0.1802 0.6352 0.0450  5 Bi 3.63-3.64, 6 Pr 3.90-4.02
Sr 0.1806 0.1352 0.5453  5 Bi 3.64, 6 Pr 3.90-4.01
Sr 0.5901 0.1352 0.9550  5 Bi 3.63-3.64, 6 Pr 3.90-4.02
Sr 0.5899 0.6352 0.4547  5 Bi 3.64, 6 Pr 3.90-4.01
Pr 0.3413 0.3413 0.0000  4 Bi 3.31-3.40
Pr 0.3413 0.8413 0.5000  4 Bi 3.31-3.40
Pr 0.5901 0.2152 0.3760  4 Bi 3.31-3.39
Pr 0.5901 0.7142 0.8749  4 Bi 3.31-3.39
Pr 0.8392 0.2142 0.6240  4 Bi 3.31-3.39
Pr 0.8392 0.7152 0.1251  4 Bi 3.31-3.39
Bi 0.2567 0.0902 0.1667  3 Pr 3.39-3.40, 6 Sr 3.64
Bi 0.2567 0.5900 0.6665  3 Pr 3.39-3.40, 6 Sr 3.64
Bi 0.5897 0.8402 0.2496  6 Pr 3.31, 3 Sr 3.63-3.64
Bi 0.5906 0.3402 0.7504  6 Pr 3.31, 3 Sr 3.63-3.64
Bi 0.9235 0.0900 0.8333  3 Pr 3.39-3.40, 6 Sr 3.64
Bi 0.9235 0.5902 0.3335  3 Pr 3.39-3.40, 6 Sr 3.64

---

Q: Which of these has the highest DOS(E_F)?
A: Sr2PrBi